! Be2FeF2, optimized geometry, DFT PBE+U; values from VASP
! D(E_F): 1.3 states/eV/cell
! Spin magnetization: 3.0 Bohr magnetons per cell
! Energy: -4.14 eV/atom
! Relative energy among the computed polymorphs: 0.118 eV/atom
! Crystal system: tetragonal
! Space group: No. 139
&SYSTEM
  ibrav = 0, nat = 5, ntyp = 3
/
ATOMIC_SPECIES
Be 9.01 Be.upf
Fe 55.84 Fe.upf
F 19.00 F.upf
CELL_PARAMETERS angstrom
-1.565 1.565 5.382
1.565 -1.565 5.382
1.565 1.565 -5.382
ATOMIC_POSITIONS crystal
Be 0.152 0.152 0.000
Be 0.848 0.848 0.000
Fe 0.500 0.500 0.000
F 0.250 0.750 0.500
F 0.750 0.250 0.500